# PBE FeTcSnRh2, relaxed
# **ΔE_f**: 152 kJ per mole of atoms
data_FeTcSnRh2
_symmetry_space_group_name_H-M 'P 4/m m m'
_symmetry_Int_Tables_number 123
_symmetry_space_group_name_Hall '-P 4 2'
_cell_length_a 4.6293
_cell_length_b 4.6293
_cell_length_c 5.0401
_cell_angle_alpha 90.00
_cell_angle_beta 90.00
_cell_angle_gamma 90.00
loop_
_atom_site_label
_atom_site_type_symbol
_atom_site_fract_x
_atom_site_fract_y
_atom_site_fract_z
Fe1 Fe 0.0000 0.0000 0.0000
Tc1 Tc 0.5000 0.5000 0.5000
Sn1 Sn 0.5000 0.5000 0.0000
Rh1 Rh 0.0000 0.5000 0.5000

# PBE LiLaCd2, relaxed
# **ΔE_f**: -20 kJ per mole of atoms
data_LiLaCd2
_symmetry_space_group_name_H-M 'P m m 2'
_symmetry_Int_Tables_number 25
_symmetry_space_group_name_Hall 'P 2 -2'
_cell_length_a 3.5195
_cell_length_b 5.2095
_cell_length_c 5.7284
_cell_angle_alpha 90.00
_cell_angle_beta 90.00
_cell_angle_gamma 90.00
loop_
_atom_site_label
_atom_site_type_symbol
_atom_site_fract_x
_atom_site_fract_y
_atom_site_fract_z
Li1 Li 0.0000 0.0000 0.0000
La1 La 0.0000 0.5000 0.4194
Cd1 Cd 0.5000 0.0000 0.5894
Cd2 Cd 0.5000 0.5000 0.9126

# PBE SrFe2Mo, relaxed
# **ΔE to the lowest computed polymorph**: 56.46 kJ/mol of atoms
# **ΔE_f**: 101 kJ per mole of atoms
data_SrFe2Mo
_symmetry_space_group_name_H-M 'I -4 2 d'
_symmetry_Int_Tables_number 122
_symmetry_space_group_name_Hall 'I -4 2bw'
_cell_length_a 7.0544
_cell_length_b 7.0544
_cell_length_c 6.1929
_cell_angle_alpha 90.00
_cell_angle_beta 90.00
_cell_angle_gamma 90.00
loop_
_atom_site_label
_atom_site_type_symbol
_atom_site_fract_x
_atom_site_fract_y
_atom_site_fract_z
Sr1 Sr 0.0000 0.0000 0.0000
Fe1 Fe 0.1805 0.2500 0.6250
Mo1 Mo 0.0000 0.0000 0.5000

# PBE NiPtSe2N, relaxed
# **ΔE to the lowest computed polymorph**: 24.66 kJ/mol of atoms
# **Uncorrected formation energy**: 0.895 eV per atom
data_NiPtSe2N
_symmetry_space_group_name_H-M 'P 4/m m m'
_symmetry_Int_Tables_number 123
_symmetry_space_group_name_Hall '-P 4 2'
_cell_length_a 5.1890
_cell_length_b 5.1890
_cell_length_c 3.6286
_cell_angle_alpha 90.00
_cell_angle_beta 90.00
_cell_angle_gamma 90.00
loop_
_atom_site_label
_atom_site_type_symbol
_atom_site_fract_x
_atom_site_fract_y
_atom_site_fract_z
Ni1 Ni 0.0000 0.0000 0.0000
Pt1 Pt 0.5000 0.5000 0.5000
Se1 Se 0.0000 0.5000 0.5000
N1 N 0.5000 0.5000 0.0000

# PBE Li4Sm9Hg11, relaxed
# **ΔE_f**: -36 kJ per mole of atoms
data_Li4Sm9Hg11
_symmetry_space_group_name_H-M 'C m m m'
_symmetry_Int_Tables_number 65
_symmetry_space_group_name_Hall '-C 2 2'
_cell_length_a 15.4171
_cell_length_b 21.9414
_cell_length_c 3.5145
_cell_angle_alpha 90.00
_cell_angle_beta 90.00
_cell_angle_gamma 90.00
loop_
_atom_site_label
_atom_site_type_symbol
_atom_site_fract_x
_atom_site_fract_y
_atom_site_fract_z
Li1 Li 0.1479 0.0987 0.0000
Sm1 Sm 0.0000 0.0000 0.0000
Sm2 Sm 0.1118 0.2445 0.0000
Sm3 Sm 0.1391 0.4226 0.0000
Hg1 Hg 0.0000 0.1341 0.5000
Hg2 Hg 0.0000 0.3430 0.5000
Hg3 Hg 0.0000 0.5000 0.5000
Hg4 Hg 0.1983 0.0000 0.5000
Hg5 Hg 0.2451 0.3262 0.5000

# PBE RbDyCdO3, relaxed
# **Uncorrected formation energy**: -2.075 eV per atom
data_RbDyCdO3
_symmetry_space_group_name_H-M 'P 1 21/m 1'
_symmetry_Int_Tables_number 11
_symmetry_space_group_name_Hall '-P 2yb'
_cell_length_a 6.9360
_cell_length_b 3.5926
_cell_length_c 9.5604
_cell_angle_alpha 90.00
_cell_angle_beta 107.48
_cell_angle_gamma 90.00
loop_
_atom_site_label
_atom_site_type_symbol
_atom_site_fract_x
_atom_site_fract_y
_atom_site_fract_z
Rb1 Rb 0.1335 0.2500 0.1803
Dy1 Dy 0.3808 0.2500 0.8454
Cd1 Cd 0.1899 0.7500 0.5446
O1 O 0.0543 0.2500 0.6578
O2 O 0.3170 0.7500 0.9820
O3 O 0.4584 0.7500 0.7200